This record from the Alexandria database describes a crystal of LiBrN2O relaxed with PBEsol. The functional is meta-GGA SCAN.

Summary:
DOS at the Fermi energy: 0.3076 states/eV/atom
final energy: -7.77 eV/atom
total magnetization: 1.9 Bohr magnetons per cell
uncorrected formation energy: 755 kJ/mol of formula units

Structure (POSCAR):
```
LiBrN2O
1.0
3.836 0.000 0.000
0.000 3.836 0.000
0.000 0.000 4.050
Li O Br N
1 1 1 2
direct
0.500 0.500 0.500 Li
0.000 0.000 0.500 O
0.000 0.000 0.000 Br
0.000 0.500 0.000 N
0.500 0.000 0.000 N
```